PBE-GGA NaReNi, optimized geometry; uncorrected energy = -5.59 eV per atom; total magnetization = 0.00 μB per formula unit; polymorph energy (0 for the lowest one) = 676.0 meV/atom; ΔE_f = 2.8 eV per formula unit; symmetry = P-6m2 (187)
1.0
4.524 0.000 0.000
-2.262 3.918 0.000
0.000 0.000 2.559
Na Re Ni
1 1 1
Direct
0.000 0.000 0.000
0.333 0.667 0.500
0.667 0.333 0.500